Entry from Alexandria via LeMat-Bulk: CeNd4Ho7 after structural relaxation (PBE).

```
CeNd4Ho7
1.0
5.3635 -1.4236 2.2451
0.5082 6.3487 2.8105
1.4173 -1.3980 11.5024
Ce Nd Ho
1 4 7
Cartesian
0.0000 0.0000 0.0000 Ce
3.2300 2.6810 5.8343 Nd
4.0590 0.8462 10.7238 Nd
4.2866 3.6886 11.9835 Nd
3.0024 -0.1615 4.5745 Nd
6.0356 0.9627 13.9481 Ho
1.2534 2.5645 2.6099 Ho
1.6241 0.1342 8.0295 Ho
5.6649 3.3929 8.5285 Ho
2.1789 3.4925 8.9629 Ho
2.6817 -0.7118 1.1225 Ho
5.1101 0.0347 7.5952 Ho
```

Total DFT energy (no corrections) (eV/atom): -4.601
Total magnetization (μB/f.u.): 1.422
Mass density (g/cm3): 7.9